The following is a DFT calculation (PBE) of crystalline FeBiSCl2 at its relaxed geometry.

Calculated values
Energy relative to the lowest polymorph listed for this composition in meV per atom: 0
SG: P4/mmm, No. 123
Formation energy (no corrections) in eV per atom: -0.028

Lattice parameters (Å, degrees): 4.587 4.587 4.612 90.00 90.00 90.00
Positions (direct):
Cl  0.000  0.500  0.000
Cl  0.500  0.000  0.000
Fe  0.000  0.000  0.000
S  0.000  0.000  0.500
Bi  0.500  0.500  0.500

The following is a DFT calculation (PBE) of crystalline Zr7Pt6 at its relaxed geometry.

Calculated values
SG: R-3m, No. 166
ΔE_f in eV/atom: -0.272

Lattice parameters (Å, degrees): 9.737 9.737 9.737 33.65 33.65 33.65
Positions (direct):
Zr  0.500  0.500  0.500
Zr  0.412  0.412  0.923
Zr  0.923  0.412  0.412
Zr  0.077  0.588  0.588
Zr  0.588  0.588  0.077
Zr  0.588  0.077  0.588
Zr  0.412  0.923  0.412
Pt  0.667  0.667  0.667
Pt  0.155  0.155  0.155
Pt  0.047  0.047  0.047
Pt  0.953  0.953  0.953
Pt  0.845  0.845  0.845
Pt  0.333  0.333  0.333

The following is a DFT calculation (PBE) of crystalline TeMoPdN2 at its relaxed geometry.

Calculated values
Energy relative to the lowest polymorph listed for this composition in meV per atom: 0
SG: P4/mmm, No. 123
Formation energy (no corrections) in eV per atom: 0.497

Lattice parameters (Å, degrees): 3.887 3.887 5.838 90.00 90.00 90.00
Positions (direct):
Te  0.000  0.000  0.500
Mo  0.000  0.000  0.000
N  0.500  0.000  0.000
N  0.000  0.500  0.000
Pd  0.500  0.500  0.500

The following is a DFT calculation (PBE) of crystalline Mg2CdPd at its relaxed geometry.

Calculated values
SG: Immm, No. 71
ΔE_f in eV/atom: -0.086

Lattice parameters (Å, degrees): 7.289 7.289 7.289 44.17 143.42 156.11
Positions (direct):
Pd  0.000  0.000  0.000
Mg  0.000  0.810  0.810
Mg  0.000  0.190  0.190
Cd  0.000  0.500  0.500